Compound: K2AsSe
Source: Alexandria via LeMat-Bulk
Functional: PBE
Structure: relaxed

a b c (Å): 7.7427 7.7427 7.7427
angles (deg): 90.00 90.00 90.00
Space group F-43m (No. 216)
Asymmetric unit:
K (0.0000, 0.0000, 0.0000) (multiplicity 4)
K (0.2500, 0.2500, 0.2500) (multiplicity 4)
As (0.2500, 0.2500, 0.7500) (multiplicity 4)
Se (0.0000, 0.0000, 0.5000) (multiplicity 4)

Summary:
E above lowest polymorph ... 417 meV per atom
E_form (uncorrected) ... -171 meV per atom
Crystal system ... cubic

---

Compound: KAsSe2
Source: Alexandria via LeMat-Bulk
Functional: PBE
Structure: relaxed

a b c (Å): 6.5055 7.5008 3.8381
angles (deg): 90.00 90.00 90.00
Space group Cmmm (No. 65)
Asymmetric unit:
K (0.0000, 0.0000, 0.0000) (multiplicity 2)
As (0.0000, 0.5000, 0.0000) (multiplicity 2)
Se (0.2500, 0.2500, 0.5000) (multiplicity 4)

Summary:
E_form (uncorrected) ... -60 meV per atom
Crystal system ... orthorhombic

---

Compound: KAsSe
Source: Alexandria via LeMat-Bulk
Functional: PBE
Structure: relaxed

a b c (Å): 7.1571 7.1571 7.1571
angles (deg): 90.00 90.00 90.00
Space group F-43m (No. 216)
Asymmetric unit:
K (0.0000, 0.0000, 0.0000) (multiplicity 4)
As (0.2500, 0.2500, 0.7500) (multiplicity 4)
Se (0.2500, 0.2500, 0.2500) (multiplicity 4)

Summary:
E above lowest polymorph ... 1024 meV per atom
E_form (uncorrected) ... 399 meV per atom
Crystal system ... cubic

---

Compound: KAsSe2
Source: Alexandria via LeMat-Bulk
Functional: PBE
Structure: relaxed

a b c (Å): 3.6522 4.0369 15.0349
angles (deg): 90.00 90.00 90.00
Space group Imm2 (No. 44)
Asymmetric unit:
K (0.0000, 0.0000, 0.0000) (multiplicity 2)
As (0.0000, 0.5000, 0.2494) (multiplicity 2)
Se (0.0000, 0.0000, 0.6266) (multiplicity 2)
Se (0.0000, 0.5000, 0.8233) (multiplicity 2)

Summary:
E_form (uncorrected) ... -361 meV per atom
Crystal system ... orthorhombic

---

Compound: KAs6Se8
Source: Alexandria via LeMat-Bulk
Functional: PBE
Structure: relaxed

a b c (Å): 11.7286 11.7286 13.0715
angles (deg): 90.00 90.00 120.00
Space group R-3 (No. 148, hexagonal axes)
Asymmetric unit:
K (0.0000, 0.0000, 0.0000) (multiplicity 3)
As (0.0446, 0.1914, 0.3965) (multiplicity 18)
Se (0.0000, 0.0000, 0.2739) (multiplicity 6)
Se (0.0205, 0.7189, 0.4030) (multiplicity 18)

Summary:
E_form (uncorrected) ... -89 meV per atom
Crystal system ... trigonal

---

Compound: K2AsSe
Source: Alexandria via LeMat-Bulk
Functional: PBE
Structure: relaxed

a b c (Å): 12.1629 12.1629 5.2960
angles (deg): 90.00 90.00 90.00
Space group I-42d (No. 122)
Asymmetric unit:
K (0.0267, 0.7500, 0.1250) (multiplicity 8)
As (0.0000, 0.0000, 0.5000) (multiplicity 4)
Se (0.0000, 0.0000, 0.0000) (multiplicity 4)

Summary:
E above lowest polymorph ... 220 meV per atom
E_form (uncorrected) ... -367 meV per atom
Crystal system ... tetragonal

---

Compound: K3As5Se12
Source: Alexandria via LeMat-Bulk
Functional: PBE
Structure: relaxed

a b c (Å): 16.6671 16.6671 16.6671
angles (deg): 90.00 90.00 90.00
Space group Ia-3d (No. 230)
Asymmetric unit:
K (0.0000, 0.2500, 0.1250) (multiplicity 24)
As (0.0000, 0.0000, 0.0000) (multiplicity 16)
As (0.0000, 0.2500, 0.3750) (multiplicity 24)
Se (0.0353, 0.0534, 0.6493) (multiplicity 96)

Summary:
E_form (uncorrected) ... -237 meV per atom
Crystal system ... cubic

---

Compound: K2AsSe
Source: Alexandria via LeMat-Bulk
Functional: PBE
Structure: relaxed

a b c (Å): 4.7324 4.7324 26.5231
angles (deg): 90.00 90.00 120.00
Space group R3m (No. 160, hexagonal axes)
Asymmetric unit:
K (0.0000, 0.0000, 0.0000) (multiplicity 3)
K (0.0000, 0.0000, 0.1634) (multiplicity 3)
As (0.0000, 0.0000, 0.7407) (multiplicity 3)
Se (0.0000, 0.0000, 0.4249) (multiplicity 3)

Summary:
E above lowest polymorph ... 264 meV per atom
E_form (uncorrected) ... -324 meV per atom
Crystal system ... trigonal

---

Compound: KAsSe2
Source: Alexandria via LeMat-Bulk
Functional: PBE
Structure: relaxed

a b c (Å): 3.7115 6.5924 9.4632
angles (deg): 90.00 90.00 90.00
Space group Immm (No. 71)
Asymmetric unit:
K (0.0000, 0.0000, 0.0000) (multiplicity 2)
As (0.0000, 0.0000, 0.5000) (multiplicity 2)
Se (0.0000, 0.5000, 0.1880) (multiplicity 4)

Summary:
E_form (uncorrected) ... -320 meV per atom
Crystal system ... orthorhombic

---

Compound: K4As2Se5
Source: Alexandria via LeMat-Bulk
Functional: PBE
Structure: relaxed

a b c (Å): 7.8023 22.9915 9.8699
angles (deg): 90.00 122.00 90.00
Space group P2_1/c (No. 14)
Asymmetric unit:
K (0.2324, 0.1559, 0.4931) (multiplicity 4)
K (0.2495, 0.5433, 0.9944) (multiplicity 4)
K (0.2500, 0.5470, 0.4985) (multiplicity 4)
K (0.2523, 0.7446, 0.4948) (multiplicity 4)
As (0.1569, 0.1443, 0.8599) (multiplicity 4)
As (0.3546, 0.1498, 0.1709) (multiplicity 4)
Se (0.1908, 0.6445, 0.7296) (multiplicity 4)
Se (0.2385, 0.2324, 0.7756) (multiplicity 4)
Se (0.2404, 0.0621, 0.7589) (multiplicity 4)
Se (0.2631, 0.0611, 0.2415) (multiplicity 4)
Se (0.3068, 0.6425, 0.2622) (multiplicity 4)

Summary:
E_form (uncorrected) ... -827 meV per atom
Crystal system ... monoclinic

---

Compound: K3AsSe4
Source: Alexandria via LeMat-Bulk
Functional: PBE
Structure: relaxed

a b c (Å): 8.0636 8.0636 8.0636
angles (deg): 90.00 90.00 90.00
Space group I-43m (No. 217)
Asymmetric unit:
K (0.0000, 0.0000, 0.5000) (multiplicity 6)
As (0.0000, 0.0000, 0.0000) (multiplicity 2)
Se (0.1699, 0.1699, 0.8301) (multiplicity 8)

Summary:
E above lowest polymorph ... 14 meV per atom
E_form (uncorrected) ... -813 meV per atom
Crystal system ... cubic

---

Compound: K2AsSe3
Source: Alexandria via LeMat-Bulk
Functional: PBE
Structure: relaxed

a b c (Å): 14.9127 6.8427 7.5950
angles (deg): 90.00 104.77 90.00
Space group C2/c (No. 15)
Asymmetric unit:
K (0.1737, 0.0014, 0.0866) (multiplicity 8)
As (0.0000, 0.4312, 0.2500) (multiplicity 4)
Se (0.0000, 0.0867, 0.2500) (multiplicity 4)
Se (0.1280, 0.4992, 0.5643) (multiplicity 8)

Summary:
E above lowest polymorph ... 91 meV per atom
E_form (uncorrected) ... -620 meV per atom
Crystal system ... monoclinic

---

The highest E_form (uncorrected) belongs to which entry?
KAsSe

---

E_form (uncorrected) of number 7 (K3As5Se12)?
-237 meV per atom

---

Look up the E_form (uncorrected) of the ninth one.
-320 meV per atom